[1]
Density functional theory data (PBE) for a relaxed structure of Ti2CdPd.

extended XYZ file:
```
12
Lattice="2.898 0.000 0.000 -1.449 2.510 0.000 0.000 0.000 28.660" Properties=species:S:1:pos:R:3 pbc="T T T"
Ti 0.000 0.000 0.000
Ti 0.000 0.000 5.137
Ti 0.000 1.673 19.106
Ti 0.000 1.673 24.243
Ti 1.449 0.837 9.553
Ti 1.449 0.837 14.690
Cd 0.000 0.000 12.121
Cd 0.000 1.673 2.568
Cd 1.449 0.837 21.674
Pd 0.000 0.000 16.899
Pd 0.000 1.673 7.346
Pd 1.449 0.837 26.453
```

Output
Magnetic moment   0.0 Bohr magnetons per cell
Theoretical density   7.5 Mg/m³
E_form   -114 meV/atom

[2]
Density functional theory data (PBE) for a relaxed structure of Ti5CdPd6.

extended XYZ file:
```
12
Lattice="-2.250 3.217 6.758 2.250 -3.217 6.758 2.250 3.217 -6.758" Properties=species:S:1:pos:R:3 pbc="T T T"
Ti 0.000 0.000 0.000
Ti 2.250 0.000 2.261
Ti 0.000 0.000 4.631
Ti 0.000 0.000 8.885
Ti 0.000 3.217 4.497
Cd 0.000 3.217 0.000
Pd 2.250 -1.715 4.316
Pd 2.250 1.425 0.000
Pd 0.000 1.502 2.442
Pd 2.250 1.715 4.316
Pd 0.000 1.792 6.758
Pd 0.000 4.932 2.442
```

Output
Magnetic moment   0.0 Bohr magnetons per cell
Theoretical density   8.4 Mg/m³
Polymorph energy (0 for the lowest one)   4 meV/atom
E_form   -478 meV/atom

[3]
Density functional theory data (PBE) for a relaxed structure of Ti2CdPd.

extended XYZ file:
```
8
Lattice="4.675 0.000 0.000 0.000 5.747 0.000 0.000 0.000 5.125" Properties=species:S:1:pos:R:3 pbc="T T T"
Ti 1.169 0.032 0.842
Ti 1.169 2.841 0.842
Ti 3.507 2.905 4.283
Ti 3.507 5.715 4.283
Cd 1.169 1.437 3.367
Cd 3.507 4.310 1.758
Pd 1.169 4.310 3.453
Pd 3.507 1.437 1.673
```

Output
Magnetic moment   4.0 Bohr magnetons per cell
Theoretical density   7.6 Mg/m³
E_form   -209 meV/atom

[4]
Density functional theory data (PBE) for a relaxed structure of TiCd2Pd8.

extended XYZ file:
```
11
Lattice="7.190 -2.027 0.000 7.190 2.027 0.000 -1.705 0.000 6.063" Properties=species:S:1:pos:R:3 pbc="T T T"
Ti 0.000 0.000 0.000
Cd 3.368 0.000 2.152
Cd 9.306 0.000 3.911
Pd 0.508 0.000 2.692
Pd 0.983 0.000 5.524
Pd 3.886 0.000 5.031
Pd 6.134 0.000 1.647
Pd 6.540 0.000 4.416
Pd 8.788 0.000 1.032
Pd 11.691 0.000 0.539
Pd 12.166 0.000 3.371
```

Output
Magnetic moment   0.0 Bohr magnetons per cell
Theoretical density   10.6 Mg/m³
Polymorph energy (0 for the lowest one)   0 meV/atom
E_form   -392 meV/atom

[5]
Density functional theory data (PBE) for a relaxed structure of TiCd2Pd2.

extended XYZ file:
```
10
Lattice="7.859 0.000 0.000 0.000 7.859 0.000 0.000 0.000 2.949" Properties=species:S:1:pos:R:3 pbc="T T T"
Ti 0.000 0.000 0.000
Ti 3.929 3.929 0.000
Cd 0.999 2.930 0.000
Cd 2.930 6.860 0.000
Cd 4.929 0.999 0.000
Cd 6.860 4.929 0.000
Pd 1.360 5.289 1.474
Pd 2.569 1.360 1.474
Pd 5.289 6.499 1.474
Pd 6.499 2.569 1.474
```

Output
Magnetic moment   0.0 Bohr magnetons per cell
Theoretical density   8.9 Mg/m³
Polymorph energy (0 for the lowest one)   297 meV/atom
E_form   -113 meV/atom

[6]
Density functional theory data (PBE) for a relaxed structure of TiCdPd5.

extended XYZ file:
```
7
Lattice="4.051 0.000 0.000 0.000 4.051 0.000 0.000 0.000 7.218" Properties=species:S:1:pos:R:3 pbc="T T T"
Ti 0.000 0.000 0.000
Cd 2.025 2.025 3.609
Pd 0.000 0.000 3.609
Pd 0.000 2.025 1.545
Pd 0.000 2.025 5.673
Pd 2.025 0.000 1.545
Pd 2.025 0.000 5.673
```

Output
Magnetic moment   0.0 Bohr magnetons per cell
Theoretical density   9.7 Mg/m³
E_form   -314 meV/atom

[7]
Density functional theory data (PBE) for a relaxed structure of TiCdPd.

extended XYZ file:
```
6
Lattice="0.000 3.749 5.622 2.642 0.000 5.622 2.642 3.749 0.000" Properties=species:S:1:pos:R:3 pbc="T T T"
Ti 1.321 1.874 2.811
Ti 3.963 5.623 8.433
Cd 2.642 1.326 5.622
Cd 2.642 6.172 5.622
Pd 2.642 3.749 4.221
Pd 2.642 3.749 7.023
```

Output
Magnetic moment   0.0 Bohr magnetons per cell
Theoretical density   8.0 Mg/m³
E_form   -126 meV/atom

[8]
Density functional theory data (PBE) for a relaxed structure of Ti4CdPd7.

extended XYZ file:
```
12
Lattice="5.298 -2.430 0.000 5.298 2.430 0.000 -4.686 0.000 8.061" Properties=species:S:1:pos:R:3 pbc="T T T"
Ti -0.373 0.000 2.219
Ti -1.303 0.000 6.722
Ti 7.213 0.000 1.340
Ti 6.282 0.000 5.842
Cd 2.955 0.000 4.031
Pd -2.343 0.000 4.031
Pd 1.302 0.000 0.328
Pd 0.260 0.000 4.775
Pd 3.853 0.000 1.232
Pd 2.057 0.000 6.830
Pd 5.650 0.000 3.287
Pd 4.608 0.000 7.733
```

Output
Magnetic moment   0.0 Bohr magnetons per cell
Theoretical density   8.4 Mg/m³
E_form   -291 meV/atom

[9]
Density functional theory data (PBE) for a relaxed structure of TiCdPd.

extended XYZ file:
```
6
Lattice="3.094 0.000 0.000 0.000 3.094 0.000 0.000 0.000 11.095" Properties=species:S:1:pos:R:3 pbc="T T T"
Ti 0.773 0.773 0.871
Ti 2.320 2.320 10.224
Cd 0.773 0.773 4.358
Cd 2.320 2.320 6.736
Pd 0.773 0.773 8.674
Pd 2.320 2.320 2.421
```

Output
Magnetic moment   0.0 Bohr magnetons per cell
Theoretical density   8.3 Mg/m³
E_form   -398 meV/atom

[10]
Density functional theory data (PBE) for a relaxed structure of Ti3CdPd7.

extended XYZ file:
```
11
Lattice="4.279 -4.724 0.000 4.279 4.724 0.000 -2.104 0.000 4.681" Properties=species:S:1:pos:R:3 pbc="T T T"
Ti 0.000 0.000 0.000
Ti 3.227 2.539 2.341
Ti 3.227 -2.539 2.341
Cd 4.279 0.000 0.000
Pd 1.050 2.587 3.801
Pd 0.307 0.000 2.645
Pd 5.404 2.587 0.880
Pd 3.227 0.000 2.341
Pd 1.050 -2.587 3.801
Pd 6.146 0.000 2.037
Pd 5.404 -2.587 0.880
```

Output
Magnetic moment   0.0 Bohr magnetons per cell
Theoretical density   8.8 Mg/m³
E_form   -298 meV/atom

[11]
Density functional theory data (PBE) for a relaxed structure of TiCd3Pd.

extended XYZ file:
```
5
Lattice="5.031 0.000 0.000 0.000 5.031 0.000 0.000 0.000 5.031" Properties=species:S:1:pos:R:3 pbc="T T T"
Ti 0.000 0.000 0.000
Cd 0.000 2.515 2.515
Cd 2.515 0.000 2.515
Cd 2.515 2.515 0.000
Pd 2.515 2.515 2.515
```

Output
Magnetic moment   0.0 Bohr magnetons per cell
Theoretical density   6.4 Mg/m³
Polymorph energy (0 for the lowest one)   0 meV/atom
E_form   555 meV/atom

[12]
Density functional theory data (PBE) for a relaxed structure of Ti2CdPd.

extended XYZ file:
```
4
Lattice="4.009 0.000 0.000 0.000 4.009 0.000 0.000 0.000 4.231" Properties=species:S:1:pos:R:3 pbc="T T T"
Ti 0.000 2.005 0.000
Ti 2.005 0.000 0.000
Cd 0.000 0.000 2.116
Pd 2.005 2.005 2.116
```

Output
Magnetic moment   0.6 Bohr magnetons per cell
Theoretical density   7.7 Mg/m³
E_form   -198 meV/atom